# 1
{"formula": "La3Ho5Tm", "functional": "PBE", "state": "relaxed", "delta_e_f_ev_per_atom": 0.44, "crystal_system": "monoclinic", "energy_ry_per_atom": -0.3121, "lattice_angstrom": [[6.137, -4.133, 0.000], [6.137, 4.133, 0.000], [-4.153, 0.000, 12.576]], "species": ["La", "La", "La", "La", "La", "La", "Ho", "Ho", "Ho", "Ho", "Ho", "Ho", "Ho", "Ho", "Ho", "Ho", "Tm", "Tm"], "fractional_positions": [[0.000, 0.000, 0.000], [0.000, 0.000, 0.500], [0.265, 0.265, 0.511], [0.342, 0.342, 0.769], [0.658, 0.658, 0.231], [0.735, 0.735, 0.489], [0.109, 0.707, 0.213], [0.264, 0.264, 0.020], [0.293, 0.891, 0.787], [0.321, 0.679, 0.000], [0.451, 0.451, 0.378], [0.549, 0.549, 0.622], [0.679, 0.321, 0.000], [0.707, 0.109, 0.213], [0.736, 0.736, 0.980], [0.891, 0.293, 0.787], [0.170, 0.170, 0.242], [0.830, 0.830, 0.758]]}

---

# 2
{"formula": "La2Ho3Tm3", "functional": "PBE", "state": "relaxed", "delta_e_f_ev_per_atom": 0.04, "crystal_system": "orthorhombic", "relative_energy_ev_per_atom": 0.0000, "energy_ry_per_atom": -0.3373, "lattice_angstrom": [[-2.535, 2.536, 9.993], [2.535, -2.536, 9.993], [2.535, 2.536, -9.993]], "species": ["La", "La", "Ho", "Ho", "Ho", "Tm", "Tm", "Tm"], "fractional_positions": [[0.250, 0.250, 0.000], [0.750, 0.750, 0.000], [0.000, 0.000, 0.000], [0.379, 0.879, 0.500], [0.621, 0.121, 0.500], [0.121, 0.621, 0.500], [0.500, 0.500, 0.000], [0.879, 0.379, 0.500]]}

---

# 3
{"formula": "La2HoTm4", "functional": "PBE", "state": "relaxed", "delta_e_f_ev_per_atom": 0.16, "crystal_system": "triclinic", "relative_energy_ev_per_atom": 0.1193, "energy_ry_per_atom": -0.3277, "lattice_angstrom": [[6.387, 0.000, 0.000], [3.191, 7.998, 0.000], [3.187, 0.589, 8.985]], "species": ["La", "La", "La", "La", "Ho", "Ho", "Tm", "Tm", "Tm", "Tm", "Tm", "Tm", "Tm", "Tm"], "fractional_positions": [[0.000, 0.000, 0.000], [0.051, 0.584, 0.030], [0.382, 0.167, 0.063], [0.923, 0.085, 0.532], [0.603, 0.508, 0.490], [0.984, 0.661, 0.574], [0.221, 0.346, 0.370], [0.295, 0.247, 0.714], [0.322, 0.824, 0.691], [0.332, 0.736, 0.224], [0.641, 0.922, 0.349], [0.651, 0.844, 0.872], [0.676, 0.432, 0.840], [0.751, 0.324, 0.193]]}

---

# 4
{"formula": "LaHo4Tm6", "functional": "PBE", "state": "relaxed", "delta_e_f_ev_per_atom": 0.12, "crystal_system": "orthorhombic", "relative_energy_ev_per_atom": 0.0000, "energy_ry_per_atom": -0.3258, "lattice_angstrom": [[2.807, -4.831, 0.000], [2.807, 4.831, 0.000], [0.000, 0.000, 25.456]], "species": ["La", "La", "Ho", "Ho", "Ho", "Ho", "Ho", "Ho", "Ho", "Ho", "Tm", "Tm", "Tm", "Tm", "Tm", "Tm", "Tm", "Tm", "Tm", "Tm", "Tm", "Tm"], "fractional_positions": [[0.171, 0.829, 0.750], [0.829, 0.171, 0.250], [0.165, 0.835, 0.041], [0.165, 0.835, 0.459], [0.494, 0.506, 0.122], [0.494, 0.506, 0.378], [0.506, 0.494, 0.622], [0.506, 0.494, 0.878], [0.835, 0.165, 0.541], [0.835, 0.165, 0.959], [0.162, 0.838, 0.180], [0.162, 0.838, 0.320], [0.171, 0.829, 0.600], [0.171, 0.829, 0.900], [0.495, 0.505, 0.250], [0.500, 0.500, 0.000], [0.500, 0.500, 0.500], [0.505, 0.495, 0.750], [0.829, 0.171, 0.100], [0.829, 0.171, 0.400], [0.838, 0.162, 0.680], [0.838, 0.162, 0.820]]}

---

# 5
{"formula": "La2HoTm5", "functional": "PBE", "state": "relaxed", "delta_e_f_ev_per_atom": 0.18, "crystal_system": "monoclinic", "relative_energy_ev_per_atom": 0.1398, "energy_ry_per_atom": -0.3248, "lattice_angstrom": [[7.959, -4.910, 0.000], [7.959, 4.910, 0.000], [-1.038, 0.000, 6.531]], "species": ["La", "La", "La", "La", "Ho", "Ho", "Tm", "Tm", "Tm", "Tm", "Tm", "Tm", "Tm", "Tm", "Tm", "Tm"], "fractional_positions": [[0.173, 0.676, 0.888], [0.324, 0.827, 0.612], [0.676, 0.173, 0.388], [0.827, 0.324, 0.112], [0.000, 0.500, 0.000], [0.500, 0.000, 0.500], [0.020, 0.187, 0.658], [0.187, 0.020, 0.158], [0.214, 0.392, 0.470], [0.392, 0.214, 0.970], [0.433, 0.567, 0.250], [0.567, 0.433, 0.750], [0.608, 0.786, 0.030], [0.786, 0.608, 0.530], [0.813, 0.980, 0.842], [0.980, 0.813, 0.342]]}

---

# 6
{"formula": "La9HoTm4", "functional": "PBE", "state": "relaxed", "delta_e_f_ev_per_atom": 0.14, "crystal_system": "hexagonal", "energy_ry_per_atom": -0.3402, "lattice_angstrom": [[10.032, 0.000, 0.000], [-5.016, 8.688, 0.000], [0.000, 0.000, 11.457]], "species": ["La", "La", "La", "La", "La", "La", "La", "La", "La", "La", "La", "La", "La", "La", "La", "La", "La", "La", "Ho", "Ho", "Tm", "Tm", "Tm", "Tm", "Tm", "Tm", "Tm", "Tm"], "fractional_positions": [[0.077, 0.538, 0.250], [0.207, 0.414, 0.529], [0.207, 0.414, 0.971], [0.207, 0.793, 0.529], [0.207, 0.793, 0.971], [0.414, 0.207, 0.029], [0.414, 0.207, 0.471], [0.462, 0.538, 0.250], [0.462, 0.923, 0.250], [0.538, 0.077, 0.750], [0.538, 0.462, 0.750], [0.586, 0.793, 0.529], [0.586, 0.793, 0.971], [0.793, 0.207, 0.029], [0.793, 0.207, 0.471], [0.793, 0.586, 0.029], [0.793, 0.586, 0.471], [0.923, 0.462, 0.750], [0.333, 0.667, 0.750], [0.667, 0.333, 0.250], [0.000, 0.000, 0.000], [0.000, 0.000, 0.500], [0.109, 0.217, 0.250], [0.109, 0.891, 0.250], [0.217, 0.109, 0.750], [0.783, 0.891, 0.250], [0.891, 0.109, 0.750], [0.891, 0.783, 0.750]]}